Below is a relaxed K3Y2MoO6 crystal, with properties calculated at the GGA+U level.

```
12
Lattice="2.967 -5.139 0.000 2.967 5.139 0.000 -1.974 0.000 6.219" Properties=species:S:1:pos:R:3 pbc="T T T"
K 0.000 0.000 0.000
K 2.967 1.678 0.000
K 2.967 -1.678 0.000
Y 1.981 3.424 3.109
Y 1.981 -3.424 3.109
Mo 1.981 0.000 3.109
O 1.017 1.668 1.953
O 0.053 0.000 4.262
O 1.017 -1.668 1.953
O 2.945 1.668 4.266
O 3.908 0.000 1.957
O 2.945 -1.668 4.266
```

As for the magnetization: 3.0 Bohr magnetons per cell. The total energy is -6.7862 eV/atom. Its space group is C2/m (12).